Arrangement a

{
  "formula": "NaV5O8",
  "functional": "PBEsol",
  "state": "optimized geometry",
  "sg": "C2/m, No. 12",
  "cell": [[7.083, -1.395, 0.000], [7.083, 1.395, 0.000], [-1.766, 0.000, 6.858]],
  "species": ["Na", "V", "V", "V", "V", "V", "O", "O", "O", "O", "O", "O", "O", "O"],
  "fractional_positions": [[0.000, 0.000, 0.000], [0.148, 0.148, 0.464], [0.209, 0.209, 0.859], [0.500, 0.500, 0.500], [0.791, 0.791, 0.141], [0.852, 0.852, 0.536], [0.079, 0.079, 0.663], [0.265, 0.265, 0.346], [0.342, 0.342, 0.011], [0.419, 0.419, 0.700], [0.581, 0.581, 0.300], [0.658, 0.658, 0.989], [0.735, 0.735, 0.654], [0.921, 0.921, 0.337]]
}

=====

Arrangement b

{
  "formula": "NaV5O8",
  "functional": "PBEsol",
  "state": "optimized geometry",
  "sg": "C2/m, No. 12",
  "cell": [[5.345, -1.413, 0.000], [5.345, 1.413, 0.000], [-2.146, 0.000, 9.482]],
  "species": ["Na", "V", "V", "V", "V", "V", "O", "O", "O", "O", "O", "O", "O", "O"],
  "fractional_positions": [[0.000, 0.000, 0.000], [0.000, 0.000, 0.500], [0.240, 0.240, 0.869], [0.242, 0.242, 0.396], [0.758, 0.758, 0.604], [0.760, 0.760, 0.131], [0.147, 0.147, 0.669], [0.163, 0.163, 0.193], [0.356, 0.356, 0.061], [0.387, 0.387, 0.570], [0.613, 0.613, 0.430], [0.644, 0.644, 0.939], [0.837, 0.837, 0.807], [0.853, 0.853, 0.331]]
}

=====

Arrangement c

{
  "formula": "NaV5O8",
  "functional": "PBEsol",
  "state": "optimized geometry",
  "sg": "P4_332, No. 212",
  "cell": [[8.393, 0.000, 0.000], [0.000, 8.393, 0.000], [0.000, 0.000, 8.393]],
  "species": ["Na", "Na", "Na", "Na", "V", "V", "V", "V", "V", "V", "V", "V", "V", "V", "V", "V", "V", "V", "V", "V", "V", "V", "V", "V", "O", "O", "O", "O", "O", "O", "O", "O", "O", "O", "O", "O", "O", "O", "O", "O", "O", "O", "O", "O", "O", "O", "O", "O", "O", "O", "O", "O", "O", "O", "O", "O"],
  "fractional_positions": [[0.125, 0.125, 0.125], [0.375, 0.875, 0.625], [0.625, 0.375, 0.875], [0.875, 0.625, 0.375], [0.005, 0.995, 0.495], [0.119, 0.869, 0.875], [0.125, 0.619, 0.631], [0.131, 0.375, 0.381], [0.245, 0.755, 0.255], [0.255, 0.245, 0.755], [0.369, 0.625, 0.881], [0.375, 0.381, 0.131], [0.381, 0.131, 0.375], [0.495, 0.005, 0.995], [0.505, 0.505, 0.505], [0.619, 0.631, 0.125], [0.625, 0.881, 0.369], [0.631, 0.125, 0.619], [0.745, 0.745, 0.745], [0.755, 0.255, 0.245], [0.869, 0.875, 0.119], [0.875, 0.119, 0.869], [0.881, 0.369, 0.625], [0.995, 0.495, 0.005], [0.104, 0.855, 0.116], [0.105, 0.854, 0.634], [0.116, 0.104, 0.855], [0.123, 0.377, 0.623], [0.127, 0.627, 0.873], [0.134, 0.395, 0.146], [0.145, 0.616, 0.396], [0.146, 0.134, 0.395], [0.354, 0.866, 0.895], [0.355, 0.384, 0.896], [0.366, 0.605, 0.646], [0.373, 0.373, 0.373], [0.377, 0.623, 0.123], [0.384, 0.896, 0.355], [0.395, 0.146, 0.134], [0.396, 0.145, 0.616], [0.604, 0.645, 0.884], [0.605, 0.646, 0.366], [0.616, 0.396, 0.145], [0.623, 0.123, 0.377], [0.627, 0.873, 0.127], [0.634, 0.105, 0.854], [0.645, 0.884, 0.604], [0.646, 0.366, 0.605], [0.854, 0.634, 0.105], [0.855, 0.116, 0.104], [0.866, 0.895, 0.354], [0.873, 0.127, 0.627], [0.877, 0.877, 0.877], [0.884, 0.604, 0.645], [0.895, 0.354, 0.866], [0.896, 0.355, 0.384]]
}

=====

Which of them is most stable? Easy: arrangement a.

=====

Arrangement a

{
  "formula": "Na5VO5",
  "functional": "PBEsol",
  "state": "optimized geometry",
  "sg": "Pbcm, No. 57",
  "cell": [[5.762, 0.000, 0.000], [0.000, 16.008, 0.000], [0.000, 0.000, 6.575]],
  "species": ["Na", "Na", "Na", "Na", "Na", "Na", "Na", "Na", "Na", "Na", "Na", "Na", "Na", "Na", "Na", "Na", "Na", "Na", "Na", "Na", "V", "V", "V", "V", "O", "O", "O", "O", "O", "O", "O", "O", "O", "O", "O", "O", "O", "O", "O", "O", "O", "O", "O", "O"],
  "fractional_positions": [[0.004, 0.231, 0.250], [0.004, 0.269, 0.750], [0.217, 0.082, 0.014], [0.217, 0.082, 0.486], [0.217, 0.418, 0.514], [0.217, 0.418, 0.986], [0.327, 0.584, 0.250], [0.327, 0.916, 0.750], [0.482, 0.750, 0.000], [0.482, 0.750, 0.500], [0.518, 0.250, 0.000], [0.518, 0.250, 0.500], [0.673, 0.084, 0.250], [0.673, 0.416, 0.750], [0.783, 0.582, 0.014], [0.783, 0.582, 0.486], [0.783, 0.918, 0.514], [0.783, 0.918, 0.986], [0.996, 0.731, 0.250], [0.996, 0.769, 0.750], [0.214, 0.593, 0.750], [0.214, 0.907, 0.250], [0.786, 0.093, 0.750], [0.786, 0.407, 0.250], [0.020, 0.512, 0.750], [0.020, 0.988, 0.250], [0.158, 0.653, 0.539], [0.158, 0.653, 0.961], [0.158, 0.847, 0.039], [0.158, 0.847, 0.461], [0.357, 0.173, 0.250], [0.357, 0.327, 0.750], [0.493, 0.554, 0.750], [0.493, 0.946, 0.250], [0.507, 0.054, 0.750], [0.507, 0.446, 0.250], [0.643, 0.673, 0.250], [0.643, 0.827, 0.750], [0.842, 0.153, 0.539], [0.842, 0.153, 0.961], [0.842, 0.347, 0.039], [0.842, 0.347, 0.461], [0.980, 0.012, 0.750], [0.980, 0.488, 0.250]]
}

=====

Arrangement b

{
  "formula": "Na5VO5",
  "functional": "PBEsol",
  "state": "optimized geometry",
  "sg": "C2/c, No. 15",
  "cell": [[3.077, -4.941, 0.000], [3.077, 4.941, 0.000], [-2.990, 0.000, 9.399]],
  "species": ["Na", "Na", "Na", "Na", "Na", "Na", "Na", "Na", "Na", "Na", "V", "V", "O", "O", "O", "O", "O", "O", "O", "O", "O", "O"],
  "fractional_positions": [[0.058, 0.288, 0.552], [0.166, 0.834, 0.750], [0.170, 0.473, 0.918], [0.288, 0.058, 0.052], [0.473, 0.170, 0.418], [0.527, 0.830, 0.582], [0.712, 0.942, 0.948], [0.830, 0.527, 0.082], [0.834, 0.166, 0.250], [0.942, 0.712, 0.448], [0.408, 0.592, 0.250], [0.592, 0.408, 0.750], [0.101, 0.314, 0.109], [0.210, 0.546, 0.376], [0.314, 0.101, 0.609], [0.414, 0.586, 0.750], [0.454, 0.790, 0.124], [0.546, 0.210, 0.876], [0.586, 0.414, 0.250], [0.686, 0.899, 0.391], [0.790, 0.454, 0.624], [0.899, 0.686, 0.891]]
}

=====

Which of them is most stable? Easy: arrangement a.

=====

Arrangement a

{
  "formula": "NaV2O5",
  "functional": "PBEsol",
  "state": "optimized geometry",
  "sg": "Pmmn, No. 59",
  "cell": [[3.580, 0.000, 0.000], [0.000, 11.268, 0.000], [0.000, 0.000, 4.835]],
  "species": ["Na", "Na", "V", "V", "V", "V", "O", "O", "O", "O", "O", "O", "O", "O", "O", "O"],
  "fractional_positions": [[0.250, 0.250, 0.132], [0.750, 0.750, 0.868], [0.250, 0.599, 0.395], [0.250, 0.901, 0.395], [0.750, 0.099, 0.605], [0.750, 0.401, 0.605], [0.250, 0.071, 0.488], [0.250, 0.429, 0.488], [0.250, 0.616, 0.062], [0.250, 0.750, 0.521], [0.250, 0.884, 0.062], [0.750, 0.116, 0.938], [0.750, 0.250, 0.479], [0.750, 0.384, 0.938], [0.750, 0.571, 0.512], [0.750, 0.929, 0.512]]
}

=====

Arrangement b

{
  "formula": "NaV2O5",
  "functional": "PBEsol",
  "state": "optimized geometry",
  "sg": "Cmcm, No. 63",
  "cell": [[1.803, -5.543, 0.000], [1.803, 5.543, 0.000], [0.000, 0.000, 11.243]],
  "species": ["Na", "Na", "V", "V", "V", "V", "O", "O", "O", "O", "O", "O", "O", "O", "O", "O"],
  "fractional_positions": [[0.094, 0.906, 0.750], [0.906, 0.094, 0.250], [0.206, 0.794, 0.100], [0.206, 0.794, 0.400], [0.794, 0.206, 0.600], [0.794, 0.206, 0.900], [0.062, 0.938, 0.117], [0.062, 0.938, 0.383], [0.242, 0.758, 0.571], [0.242, 0.758, 0.929], [0.269, 0.731, 0.250], [0.731, 0.269, 0.750], [0.758, 0.242, 0.071], [0.758, 0.242, 0.429], [0.938, 0.062, 0.617], [0.938, 0.062, 0.883]]
}

=====

Which of them is most stable? Easy: arrangement a.

=====

Arrangement a

{
  "formula": "NaSbPS2",
  "functional": "PBEsol",
  "state": "optimized geometry",
  "sg": "P4/mmm, No. 123",
  "cell": [[5.085, 0.000, 0.000], [0.000, 5.085, 0.000], [0.000, 0.000, 5.024]],
  "species": ["Na", "Sb", "P", "S", "S"],
  "fractional_positions": [[0.000, 0.000, 0.000], [0.500, 0.500, 0.500], [0.500, 0.500, 0.000], [0.000, 0.500, 0.500], [0.500, 0.000, 0.500]]
}

=====

Arrangement b

{
  "formula": "NaSbPS2",
  "functional": "PBEsol",
  "state": "optimized geometry",
  "sg": "P4/mmm, No. 123",
  "cell": [[4.571, 0.000, 0.000], [0.000, 4.571, 0.000], [0.000, 0.000, 5.631]],
  "species": ["Na", "Sb", "P", "S", "S"],
  "fractional_positions": [[0.000, 0.000, 0.000], [0.000, 0.000, 0.500], [0.500, 0.500, 0.500], [0.000, 0.500, 0.000], [0.500, 0.000, 0.000]]
}

=====

Which of them is most stable? Easy: arrangement a.